# 1
A plane-wave DFT calculation with GGA-PBE was carried out for a relaxed structure of LaTbErTm.

Unit cell a=3.582 b=3.582 c=11.824 alpha=90.01 beta=98.71 gamma=119.99
Atoms (fractional coordinates):
Er: 0.474 0.135 0.625
La: 0.970 0.383 0.369
Tm: 0.132 0.964 0.110
Tb: 0.302 0.549 0.867

Results
**Total DFT energy (no corrections)**: -18.46 eV per cell
**M_tot**: 0.00 Bohr magnetons per cell
**ΔH_f (0 K)**: 32 meV per atom

***

# 2
A plane-wave DFT calculation with GGA-PBE was carried out for a relaxed structure of Tl3FeSi.

Unit cell a=5.349 b=5.349 c=5.349 alpha=90.00 beta=90.00 gamma=90.00
Site moments in Bohr magnetons follow the coordinates.
Atoms (fractional coordinates):
Tl: 0.000 0.500 0.000  -0.04
Tl: 0.500 0.000 0.000  -0.03
Tl: 0.000 0.000 0.500  -0.03
Si: 0.000 0.000 0.000  -0.02
Fe: 0.500 0.500 0.500  3.24

Results
**Total DFT energy (no corrections)**: -15.87 eV per cell
**Formation energy (no corrections)**: 1022.1 meV per atom
**M_tot**: 3.04 Bohr magnetons per cell

***

# 3
A plane-wave DFT calculation with GGA-PBE was carried out for a relaxed structure of YSc2W.

Unit cell a=4.991 b=4.991 c=4.991 alpha=60.00 beta=60.00 gamma=60.00
Atoms (fractional coordinates):
Sc: 0.250 0.250 0.250
Sc: 0.000 0.000 0.000
W: 0.500 0.500 0.500
Y: 0.750 0.750 0.750

Results
**Total DFT energy (no corrections)**: -30.52 eV per cell
**M_tot**: 0.00 Bohr magnetons per cell
**ΔH_f (0 K)**: 391 meV per atom